DFT (PBE) results for a geometry-optimized CaPm2SnO6 structure.

Cell lengths 5.3651, 5.4925, 5.4925 Å; angles 90.00, 90.00, 90.00 degrees
Fractional positions:
1 Sn 0.5893 0.0000 0.0000
2 O 0.7417 0.7597 0.2403
3 Ca 0.5571 0.5000 0.5000
4 O 0.7417 0.2403 0.2403
5 O 0.2168 0.0000 0.0000
6 Pm 0.9862 0.0000 0.5000
7 O 0.7417 0.2403 0.7597
8 Pm 0.9862 0.5000 0.0000
9 O 0.7417 0.7597 0.7597
10 O 0.1442 0.5000 0.5000

Summary:
Formation energy (no corrections) (eV per atom): -2.61
N(E_F) (states/eV/atom): 0.000
Spin magnetization (μB per formula unit): 0.03
SG: P4mm

***

DFT (PBE) results for a geometry-optimized K2HgSe2 structure.

Cell lengths 6.7565, 9.1583, 11.2032 Å; angles 125.06, 107.72, 111.46 degrees
Fractional positions:
1 Se 0.6768 0.5671 0.2805
2 K 0.8121 0.4059 0.7241
3 K 0.1869 0.0940 0.7758
4 Hg 0.5000 0.2499 0.2499
5 Hg 0.5001 0.7501 0.7501
6 Se 0.3232 0.4329 0.7195
7 Se 0.3234 0.9328 0.2193
8 K 0.8131 0.9060 0.2242
9 K 0.1880 0.5941 0.2759
10 Se 0.6767 0.0672 0.7807

Summary:
Formation energy (no corrections) (eV per atom): -0.87
N(E_F) (states/eV/atom): 0.000
Spin magnetization (μB per formula unit): 0.00
SG: P-1

***

DFT (PBE) results for a geometry-optimized Cs4K5Au2 structure.

Cell lengths 4.7301, 12.0704, 13.0526 Å; angles 92.54, 90.00, 90.00 degrees
Fractional positions:
1 Cs 0.5000 0.1667 0.8183
2 Cs 0.5000 0.8275 0.5273
3 K 0.0000 0.1604 0.1572
4 Cs 0.5000 0.8333 0.1817
5 Au 0.0000 0.9746 0.3564
6 Au 0.0000 0.0254 0.6436
7 Cs 0.5000 0.1725 0.4727
8 K 0.0000 0.5032 0.3318
9 K 0.0000 0.4968 0.6682
10 K 0.0000 0.5000 0.0000
11 K 0.0000 0.8396 0.8428

Summary:
Energy above the most stable polymorph in this dataset (meV per atom): 0
N(E_F) (states/eV/atom): 0.683
Spin magnetization (μB per formula unit): 0.00
SG: P2/m

***

> Which formula does entry 2 have?

K2HgSe2

***

> Which of these has the highest N(E_F)?

Cs4K5Au2

***

> Number 1 is which compound?

CaPm2SnO6